Record 1
La5Dy4Y2 | PBE | relaxed

Computed properties:
Its calculated volume is 385.9 Å³ per cell. As for the crystal system: monoclinic. For the relative energy among the computed polymorphs, the calculation gives 0 meV/atom. The energy of formation from the pure elements comes out at 0.126 eV per atom.

Lattice parameters (Å, degrees): 9.3053 9.3053 11.9532 101.81 101.81 22.41
With the nearest neighbours (Å) after each atom.
Element x y z (fractional)
La (0.0000, 0.0000, 0.0000)  6 La 3.51-3.62, 2 Y 3.64, 4 Dy 3.80
La (0.3348, 0.3348, 0.9983)  4 Dy 3.45-3.78, 6 La 3.51-3.62, 2 Y 3.58
La (0.3520, 0.3520, 0.4890)  4 Dy 3.46-3.86, 2 Y 3.57, 2 La 3.62
La (0.6480, 0.6480, 0.5110)  4 Dy 3.46-3.86, 2 Y 3.57, 2 La 3.62
La (0.6652, 0.6652, 0.0017)  4 Dy 3.45-3.78, 6 La 3.51-3.62, 2 Y 3.58
Dy (0.1882, 0.1882, 0.7635)  5 La 3.45-3.47, 2 Y 3.51, 4 Dy 3.54-3.62
Dy (0.4819, 0.4819, 0.2724)  4 Dy 3.54-3.62, 2 Y 3.60, 5 La 3.70-3.86
Dy (0.5181, 0.5181, 0.7276)  4 Dy 3.54-3.62, 2 Y 3.60, 5 La 3.70-3.86
Dy (0.8118, 0.8118, 0.2365)  5 La 3.45-3.47, 2 Y 3.51, 4 Dy 3.54-3.62
Y (0.1498, 0.1498, 0.2544)  4 Dy 3.51-3.60, 5 La 3.57-3.64, 2 Y 3.62
Y (0.8502, 0.8502, 0.7456)  4 Dy 3.51-3.60, 5 La 3.57-3.64, 2 Y 3.62


Record 2
La3Dy3Y4 | PBE | relaxed

Computed properties:
Its calculated volume is 341.8 Å³ per cell. As for the crystal system: orthorhombic. The energy of formation from the pure elements comes out at 0.124 eV per atom.

Lattice parameters (Å, degrees): 3.7121 9.5957 9.5957 89.37 90.00 90.00
With the nearest neighbours (Å) after each atom.
Element x y z (fractional)
La (0.0000, 0.0000, 0.0000)  6 Y 3.31-3.48
La (0.0000, 0.4985, 0.8487)  6 Y 3.29-3.46
La (0.0000, 0.8487, 0.4985)  6 Y 3.29-3.46
Dy (0.0000, 0.3492, 0.3492)  6 Y 3.28-3.41
Dy (0.5000, 0.1779, 0.6653)  4 Y 3.69-3.94, 4 Dy 3.71-3.90, 6 La 4.01-4.07
Dy (0.5000, 0.6653, 0.1779)  4 Y 3.69-3.94, 4 Dy 3.71-3.90, 6 La 4.01-4.07
Y (0.5000, 0.0550, 0.3018)  4 La 3.29-3.48, 1 Y 3.33, 2 Dy 3.41
Y (0.5000, 0.3018, 0.0550)  4 La 3.29-3.48, 1 Y 3.33, 2 Dy 3.41
Y (0.5000, 0.5476, 0.5476)  2 Dy 3.28, 1 Y 3.43, 4 La 3.46
Y (0.5000, 0.7992, 0.7992)  6 La 3.31-3.46, 1 Y 3.43


Record 3
LaDy6Y4 | PBE | relaxed

Computed properties:
Its calculated volume is 718.9 Å³ per cell. As for the crystal system: orthorhombic. For the relative energy among the computed polymorphs, the calculation gives 0 meV/atom. The energy of formation from the pure elements comes out at 0.124 eV per atom.

Lattice parameters (Å, degrees): 5.6411 5.6411 25.7890 90.00 90.00 118.83
With the nearest neighbours (Å) after each atom.
Element x y z (fractional)
La (0.1864, 0.8136, 0.7500)  3 Dy 3.25-3.29
La (0.8136, 0.1864, 0.2500)  3 Dy 3.25-3.29
Dy (0.1441, 0.8559, 0.1805)  4 Y 3.55-3.64, 7 Dy 3.59-3.89, 3 La 3.68-3.76
Dy (0.1441, 0.8559, 0.3195)  4 Y 3.55-3.64, 7 Dy 3.59-3.89, 3 La 3.68-3.76
Dy (0.1875, 0.8125, 0.6008)  7 Y 3.32-3.69
Dy (0.1875, 0.8125, 0.8992)  7 Y 3.32-3.69
Dy (0.4790, 0.5210, 0.2500)  3 La 3.25-3.29, 2 Y 3.31
Dy (0.5000, 0.5000, 0.0000)  8 Y 3.15-3.49
Dy (0.5000, 0.5000, 0.5000)  8 Y 3.15-3.49
Dy (0.5210, 0.4790, 0.7500)  3 La 3.25-3.29, 2 Y 3.31
Dy (0.8125, 0.1875, 0.1008)  7 Y 3.32-3.69
Dy (0.8125, 0.1875, 0.3992)  7 Y 3.32-3.69
Dy (0.8559, 0.1441, 0.6805)  4 Y 3.55-3.64, 7 Dy 3.59-3.89, 3 La 3.68-3.76
Dy (0.8559, 0.1441, 0.8195)  4 Y 3.55-3.64, 7 Dy 3.59-3.89, 3 La 3.68-3.76
Y (0.1581, 0.8419, 0.0419)  8 Dy 3.43-3.69, 2 Y 3.70-3.75
Y (0.1581, 0.8419, 0.4581)  8 Dy 3.43-3.69, 2 Y 3.70-3.75
Y (0.4742, 0.5258, 0.1217)  5 Dy 3.15-3.33
Y (0.4742, 0.5258, 0.3783)  5 Dy 3.15-3.33
Y (0.5258, 0.4742, 0.6217)  5 Dy 3.15-3.33
Y (0.5258, 0.4742, 0.8783)  5 Dy 3.15-3.33
Y (0.8419, 0.1581, 0.5419)  8 Dy 3.43-3.69, 2 Y 3.70-3.75
Y (0.8419, 0.1581, 0.9581)  8 Dy 3.43-3.69, 2 Y 3.70-3.75


Record 4
LaDy2Y | PBE | relaxed

Computed properties:
Its calculated volume is 132.5 Å³ per cell. As for the crystal system: tetragonal. For the relative energy among the computed polymorphs, the calculation gives 24 meV/atom. The energy of formation from the pure elements comes out at 0.031 eV per atom.

Lattice parameters (Å, degrees): 3.6128 3.6128 10.1481 90.00 90.00 90.00
With the nearest neighbours (Å) after each atom.
Element x y z (fractional)
La (0.0000, 0.0000, 0.0000)  4 La 3.61, 8 Dy 3.64
Dy (0.5000, 0.5000, 0.2552)  4 Y 3.56, 4 Dy 3.61, 4 La 3.64
Dy (0.5000, 0.5000, 0.7448)  4 Y 3.56, 4 Dy 3.61, 4 La 3.64
Y (0.0000, 0.0000, 0.5000)  8 Dy 3.56, 4 Y 3.61


Record 5
La3Dy8Y2 | PBE | relaxed

Computed properties:
Its calculated volume is 444.8 Å³ per cell. As for the crystal system: monoclinic. For the relative energy among the computed polymorphs, the calculation gives 220 meV/atom. The energy of formation from the pure elements comes out at 0.249 eV per atom.

Lattice parameters (Å, degrees): 10.8386 10.8386 5.6687 90.10 90.10 41.91
With the nearest neighbours (Å) after each atom.
Element x y z (fractional)
La (0.0000, 0.0000, 0.0000)  4 Dy 3.17
La (0.2987, 0.7014, 0.5000)  1 La 3.12
La (0.7014, 0.2987, 0.5000)  1 La 3.12
Dy (0.1363, 0.1363, 0.4987)  2 Y 3.53-3.55, 3 La 3.60-3.95, 7 Dy 3.66-3.95
Dy (0.1829, 0.5985, 0.9993)  1 La 3.17, 3 Dy 3.22-3.51, 2 Y 3.43-3.50
Dy (0.3274, 0.3274, 0.4976)  2 Y 3.33, 4 Dy 3.50-3.51
Dy (0.4015, 0.8171, 0.0007)  1 La 3.17, 3 Dy 3.22-3.51, 2 Y 3.43-3.50
Dy (0.5985, 0.1829, 0.9993)  1 La 3.17, 3 Dy 3.22-3.51, 2 Y 3.43-3.50
Dy (0.6726, 0.6726, 0.5024)  2 Y 3.33, 4 Dy 3.50-3.51
Dy (0.8171, 0.4015, 0.0007)  1 La 3.17, 3 Dy 3.22-3.51, 2 Y 3.43-3.50
Dy (0.8637, 0.8637, 0.5013)  2 Y 3.53-3.55, 3 La 3.60-3.95, 7 Dy 3.66-3.95
Y (0.2410, 0.2410, 0.9971)  8 Dy 3.33-3.55
Y (0.7590, 0.7590, 0.0029)  8 Dy 3.33-3.55


Record 6
La16Dy7Y6 | PBE | relaxed

Computed properties:
Its calculated volume is 1067.0 Å³ per cell. As for the crystal system: cubic. The energy of formation from the pure elements comes out at 0.184 eV per atom.

Lattice parameters (Å, degrees): 11.4699 11.4699 11.4699 60.00 60.00 60.00
With the nearest neighbours (Å) after each atom.
Element x y z (fractional)
La (0.0495, 0.6502, 0.6502)  3 Dy 3.34, 3 La 3.70, 3 Y 3.71
La (0.1247, 0.1247, 0.1247)  4 Dy 3.50-3.51, 3 Y 3.65, 3 La 3.70
La (0.1247, 0.1247, 0.6259)  4 Dy 3.50-3.51, 3 Y 3.65, 3 La 3.70
La (0.1247, 0.6259, 0.1247)  4 Dy 3.50-3.51, 3 Y 3.65, 3 La 3.70
La (0.3498, 0.3498, 0.3498)  3 Dy 3.34, 3 La 3.70, 3 Y 3.71
La (0.3498, 0.3498, 0.9505)  3 Dy 3.34, 3 La 3.70, 3 Y 3.71
La (0.3498, 0.9505, 0.3498)  3 Dy 3.34, 3 La 3.70, 3 Y 3.71
La (0.3741, 0.8753, 0.8753)  4 Dy 3.50-3.51, 3 Y 3.65, 3 La 3.70
La (0.6259, 0.1247, 0.1247)  4 Dy 3.50-3.51, 3 Y 3.65, 3 La 3.70
La (0.6502, 0.0495, 0.6502)  3 Dy 3.34, 3 La 3.70, 3 Y 3.71
La (0.6502, 0.6502, 0.0495)  3 Dy 3.34, 3 La 3.70, 3 Y 3.71
La (0.6502, 0.6502, 0.6502)  3 Dy 3.34, 3 La 3.70, 3 Y 3.71
La (0.8753, 0.3741, 0.8753)  4 Dy 3.50-3.51, 3 Y 3.65, 3 La 3.70
La (0.8753, 0.8753, 0.3741)  4 Dy 3.50-3.51, 3 Y 3.65, 3 La 3.70
La (0.8753, 0.8753, 0.8753)  4 Dy 3.50-3.51, 3 Y 3.65, 3 La 3.70
La (0.9505, 0.3498, 0.3498)  3 Dy 3.34, 3 La 3.70, 3 Y 3.71
Dy (0.0000, 0.0000, 0.0000)  8 La 3.50
Dy (0.0000, 0.0000, 0.5000)  8 La 3.34-3.51
Dy (0.0000, 0.5000, 0.0000)  8 La 3.34-3.51
Dy (0.0000, 0.5000, 0.5000)  8 La 3.34-3.51
Dy (0.5000, 0.0000, 0.0000)  8 La 3.34-3.51
Dy (0.5000, 0.0000, 0.5000)  8 La 3.34-3.51
Dy (0.5000, 0.5000, 0.0000)  8 La 3.34-3.51
Y (0.2643, 0.2643, 0.7357)  8 La 3.65-3.71, 4 Dy 4.06
Y (0.2643, 0.7357, 0.2643)  8 La 3.65-3.71, 4 Dy 4.06
Y (0.2643, 0.7357, 0.7357)  8 La 3.65-3.71, 4 Dy 4.06
Y (0.7357, 0.2643, 0.2643)  8 La 3.65-3.71, 4 Dy 4.06
Y (0.7357, 0.2643, 0.7357)  8 La 3.65-3.71, 4 Dy 4.06
Y (0.7357, 0.7357, 0.2643)  8 La 3.65-3.71, 4 Dy 4.06


Record 7
La3DyY4 | PBE | relaxed

Computed properties:
Its calculated volume is 548.5 Å³ per cell. As for the crystal system: orthorhombic. For the relative energy among the computed polymorphs, the calculation gives 0 meV/atom. The energy of formation from the pure elements comes out at 0.027 eV per atom.

Lattice parameters (Å, degrees): 11.6518 7.3820 6.3769 90.00 90.00 90.00
With the nearest neighbours (Å) after each atom.
Element x y z (fractional)
La (0.0000, 0.1257, 0.0000)  4 La 3.58-3.62, 6 Y 3.64-3.71, 2 Dy 3.70-3.72
La (0.2497, 0.1224, 0.3276)  4 La 3.58-3.67, 2 Dy 3.59-3.63, 6 Y 3.63-3.73
La (0.2503, 0.8776, 0.8276)  4 La 3.58-3.67, 2 Dy 3.59-3.63, 6 Y 3.63-3.73
La (0.5000, 0.8743, 0.5000)  4 La 3.58-3.62, 6 Y 3.64-3.71, 2 Dy 3.70-3.72
La (0.7503, 0.1224, 0.3276)  4 La 3.58-3.67, 2 Dy 3.59-3.63, 6 Y 3.63-3.73
La (0.7497, 0.8776, 0.8276)  4 La 3.58-3.67, 2 Dy 3.59-3.63, 6 Y 3.63-3.73
Dy (0.0000, 0.8691, 0.4983)  6 Y 3.58-3.75, 6 La 3.59-3.72
Dy (0.5000, 0.1309, 0.9983)  6 Y 3.58-3.75, 6 La 3.59-3.72
Y (0.0000, 0.3772, 0.4956)  6 Y 3.56-3.69, 4 La 3.63-3.71, 2 Dy 3.63-3.75
Y (0.0000, 0.6237, 0.9982)  6 Y 3.59-3.69, 4 La 3.63-3.71, 2 Dy 3.67
Y (0.2481, 0.6219, 0.3329)  6 Y 3.56-3.66, 1 Dy 3.58, 5 La 3.64-3.73
Y (0.2519, 0.3781, 0.8329)  6 Y 3.56-3.66, 1 Dy 3.58, 5 La 3.64-3.73
Y (0.5000, 0.3763, 0.4982)  6 Y 3.59-3.69, 4 La 3.63-3.71, 2 Dy 3.67
Y (0.5000, 0.6228, 0.9956)  6 Y 3.56-3.69, 4 La 3.63-3.71, 2 Dy 3.63-3.75
Y (0.7481, 0.3781, 0.8329)  6 Y 3.56-3.66, 1 Dy 3.58, 5 La 3.64-3.73
Y (0.7519, 0.6219, 0.3329)  6 Y 3.56-3.66, 1 Dy 3.58, 5 La 3.64-3.73


Record 8
LaDy4Y | PBE | relaxed

Computed properties:
Its calculated volume is 201.5 Å³ per cell. As for the crystal system: monoclinic. For the relative energy among the computed polymorphs, the calculation gives 179 meV/atom. The energy of formation from the pure elements comes out at 0.202 eV per atom.

Lattice parameters (Å, degrees): 6.0981 6.0981 11.5188 118.16 118.16 32.70
With the nearest neighbours (Å) after each atom.
Element x y z (fractional)
La (0.0000, 0.0000, 0.0000)  2 La 3.43, 8 Dy 3.49-3.60
Dy (0.1896, 0.1896, 0.8426)  6 Dy 3.43-3.61, 1 Y 3.45, 3 La 3.49-3.60
Dy (0.1924, 0.1924, 0.3473)  6 Dy 3.43-3.55, 3 Y 3.47-3.57, 1 La 3.49
Dy (0.8076, 0.8076, 0.6527)  6 Dy 3.43-3.55, 3 Y 3.47-3.57, 1 La 3.49
Dy (0.8104, 0.8104, 0.1574)  6 Dy 3.43-3.61, 1 Y 3.45, 3 La 3.49-3.60
Y (0.0000, 0.0000, 0.5000)  2 Y 3.43, 8 Dy 3.45-3.57